## BaGaTe3 (PBE)

Data for BaGaTe3 after structural relaxation.

abc: 6.5787 6.5787 6.5787
angles: 90.00 90.00 90.00
Last column: nearest neighbours and their distance in Å.
Positions (direct):
1 Ba 0.0000 0.0000 0.0000  6 Te 3.29
2 Ga 0.5000 0.5000 0.5000  12 Te 4.65
3 Te 0.0000 0.0000 0.5000  2 Ba 3.29
4 Te 0.0000 0.5000 0.0000  2 Ba 3.29
5 Te 0.5000 0.0000 0.0000  2 Ba 3.29

Calculated values
- formation energy (no corrections) (kJ per mole of atoms) = 18.6